8
Lattice="-0.6766 -2.3031 -5.2994 1.7429 -5.1685 2.0236 -7.5131 -5.7108 0.2477" Properties=species:S:1:pos:R:3 comment="BaNiPb2 (PBE, relaxed)" total_energy_ev_per_cell=-30.15 sg="No. 122" total_magnetization_mub_per_cell=0.00 pbc="T T T"
Pb -1.9593 -3.0912 -2.0262
Pb -0.9975 -5.3679 -0.3068
Pb -4.9156 -8.0320 -0.6718
Pb -5.0212 -9.8736 -3.0513
Ni 0.5331 -3.7358 -1.6379
Ni -2.6186 -7.3075 0.3167
Ba 0.0000 0.0000 0.0000
Ba -3.8283 -5.8748 -3.3448



4
Lattice="4.6202 -0.0095 -0.0301 -2.2588 6.5463 0.3000 0.1025 1.3372 4.2583" Properties=species:S:1:pos:R:3 comment="BaNiPb2 (PBE, relaxed)" total_energy_ev_per_cell=-14.14 sg="No. 12" total_magnetization_mub_per_cell=0.00 pbc="T T T"
Ba -1.0781 3.9417 2.2791
Ni 1.1807 3.2684 0.1349
Pb 0.0000 0.0000 0.0000
Pb 2.3614 0.6638 2.1141



5
Lattice="-1.6983 -3.3656 5.0559 5.5108 -3.0611 -0.1867 2.5536 4.3676 3.7652" Properties=species:S:1:pos:R:3 comment="BaNiPb3 (PBE, relaxed)" total_energy_ev_per_cell=-11.36 sg="No. 221" total_magnetization_mub_per_cell=0.86 pbc="T T T"
Pb 2.7554 -1.5306 -0.0933
Pb 1.2768 2.1838 1.8826
Pb -0.8491 -1.6828 2.5280
Ni 3.1831 -1.0296 4.3172
Ba 0.0000 0.0000 0.0000



4
Lattice="-2.1641 -1.6368 3.7135 -1.8408 -4.2140 -0.0774 4.3574 -4.4775 3.4155" Properties=species:S:1:pos:R:3 comment="BaNiPb2 (PBE, relaxed)" total_energy_ev_per_cell=-15.91 sg="No. 160" total_magnetization_mub_per_cell=0.00 pbc="T T T"
Ba 0.1235 -5.1424 3.5065
Ni -1.2273 -1.9976 1.2534
Pb -3.2438 -6.1884 3.9305
Pb 0.8715 -8.0151 5.5233



4
Lattice="3.5708 0.1929 0.0000 -0.2115 3.5697 0.0000 0.0000 0.0000 8.3896" Properties=species:S:1:pos:R:3 comment="BaNiPb2 (PBE, relaxed)" total_energy_ev_per_cell=-15.18 sg="No. 65" total_magnetization_mub_per_cell=0.00 pbc="T T T"
Ba 1.6796 1.8813 2.0974
Ni 1.6796 1.8813 6.2922
Pb 0.0000 0.0000 7.8413
Pb 0.0000 0.0000 4.7431



6
Lattice="0.4697 -5.0890 1.2827 -4.2062 -3.1670 -0.2024 -0.3343 -3.7004 -3.7362" Properties=species:S:1:pos:R:3 comment="BaNi4Pb (PBE, relaxed)" total_energy_ev_per_cell=-27.76 sg="No. 216" total_magnetization_mub_per_cell=0.00 pbc="T T T"
Ba 0.0000 0.0000 0.0000
Ni -1.3076 -7.0058 -0.3754
Ni -1.7010 -6.3262 -2.8313
Ni -3.5957 -6.0653 -1.1021
Ni -1.5374 -4.5155 -1.0031
Pb -3.0532 -8.9673 -1.9920



4
Lattice="-3.3174 2.3609 1.8934 -2.4188 0.4376 -4.7836 -3.4285 -4.0643 -0.9392" Properties=species:S:1:pos:R:3 comment="BaNiPb2 (PBE, relaxed)" total_energy_ev_per_cell=-16.01 sg="No. 10" total_magnetization_mub_per_cell=0.00 pbc="T T T"
Ba -3.1205 0.2738 -0.4840
Ni -6.0441 -1.5396 -3.3455
Pb -5.3938 -3.3458 -5.2787
Pb -3.3770 -2.0943 -3.3056



4
Lattice="-1.1902 0.6390 -4.3691 -1.3870 -3.5447 -2.5349 -7.0597 0.1367 -0.4458" Properties=species:S:1:pos:R:3 comment="BaNiPb2 (PBE, relaxed)" total_energy_ev_per_cell=-16.02 sg="No. 166" total_magnetization_mub_per_cell=0.00 pbc="T T T"
Ba -7.2277 -2.0767 -5.5124
Ni -2.4092 -0.6922 -1.8375
Pb -3.2501 -2.7862 -6.7038
Pb -4.1455 -1.5039 -3.8751



5
Lattice="5.0018 0.0000 0.0000 0.0000 5.0018 0.0000 0.0000 0.0000 5.0018" Properties=species:S:1:pos:R:3 comment="BaNi3Pb (PBE, relaxed)" total_energy_ev_per_cell=-15.58 sg="No. 221" total_magnetization_mub_per_cell=0.00 pbc="T T T"
Pb 2.5009 2.5009 2.5009
Ni 0.0000 2.5009 0.0000
Ni 0.0000 0.0000 2.5009
Ni 2.5009 0.0000 0.0000
Ba 0.0000 0.0000 0.0000



4
Lattice="4.7211 0.0000 0.0000 0.0000 4.6496 -0.8433 0.0000 1.0479 5.8106" Properties=species:S:1:pos:R:3 comment="BaNiPb2 (PBE, relaxed)" total_energy_ev_per_cell=-15.39 sg="No. 6" total_magnetization_mub_per_cell=0.00 pbc="T T T"
Ba 0.0000 2.3216 2.8959
Ni 2.3605 4.9470 4.1317
Pb 0.0000 4.1259 -0.4191
Pb 2.3605 1.8015 -0.0008



12
Lattice="-2.6096 0.8481 -3.9537 5.8541 -2.1043 -4.3153 -1.8538 -9.4959 2.1157" Properties=species:S:1:pos:R:3 comment="BaNiPb4 (PBE, relaxed)" total_energy_ev_per_cell=-47.60 sg="No. 63" de_polymorph_mev_per_atom=0 total_magnetization_mub_per_cell=0.00 pbc="T T T"
Ba 0.7229 -2.6531 -1.0463
Ba 0.6678 -8.0990 -5.1070
Ni 3.0139 -5.5321 -3.1760
Ni -1.6232 -5.2200 -2.9774
Pb 1.6223 -0.6281 -4.1345
Pb -1.3048 0.4240 -1.9769
Pb 3.0984 -5.0714 -6.0619
Pb -1.7076 -5.6807 -0.0914
Pb 0.7391 -6.5601 -1.8950
Pb 0.6516 -4.1919 -4.2583
Pb 3.8943 -3.0036 -3.2146
Pb -2.5036 -7.7485 -2.9387



4
Lattice="-3.3113 0.8294 -3.2876 2.2327 -2.9244 -2.9873 -2.7955 -3.9837 1.8105" Properties=species:S:1:pos:R:3 comment="BaNiPb2 (PBE, relaxed)" total_energy_ev_per_cell=-14.61 sg="No. 123" total_magnetization_mub_per_cell=0.00 pbc="T T T"
Ba -3.0534 -1.5772 -0.7386
Ni -0.2814 -3.4541 -0.5884
Pb 0.0000 0.0000 0.0000
Pb -0.5393 -1.0475 -3.1375



Number 1: formation enthalpy at 0 K 11 meV per atom. Number 2: formation enthalpy at 0 K 245 meV per atom. Number 3: formation enthalpy at 0 K 1494 meV per atom. Number 4: formation enthalpy at 0 K -197 meV per atom. Number 5: formation enthalpy at 0 K -15 meV per atom. Number 6: formation enthalpy at 0 K 165 meV per atom. Number 7: formation enthalpy at 0 K -222 meV per atom. Number 8: formation enthalpy at 0 K -225 meV per atom. Number 9: formation enthalpy at 0 K 1479 meV per atom. Number 10: formation enthalpy at 0 K -67 meV per atom. Number 11: formation enthalpy at 0 K -210 meV per atom. Number 12: formation enthalpy at 0 K 127 meV per atom.